VASP calculation (PBEsol) on a relaxed Tc2HgCl crystal.

Cell: 6.3799 6.3799 6.3799 Å, 90.00 90.00 90.00°
Last column: nearest neighbours and their distance in Å.
Space group F-43m (No. 216)
Asymmetric unit:
Tc: 0.0000 0.0000 0.0000 [4 per cell]  4 Tc 2.76, 4 Hg 2.76
Tc: 0.2500 0.2500 0.2500 [4 per cell]  4 Cl 2.76, 4 Tc 2.76
Hg: 0.2500 0.2500 0.7500 [4 per cell]  4 Cl 2.76, 4 Tc 2.76
Cl: 0.0000 0.0000 0.5000 [4 per cell]  4 Hg 2.76, 4 Tc 2.76

Computed properties:
**Offset from the most stable computed form**: 317.3 meV/atom
**Electronic total energy**: -5.287 eV per atom
**Theoretical density**: 11.1 g cm⁻³

***

VASP calculation (PBEsol) on a relaxed FeCuS2 crystal.

Cell: 3.1679 3.1679 19.1488 Å, 90.00 90.00 120.00°
Last column: nearest neighbours and their distance in Å.
Space group R3m (No. 160, hexagonal axes)
Asymmetric unit:
Fe: 0.0000 0.0000 0.0000 [3 per cell]  6 S 2.17-2.42
Cu: 0.0000 0.0000 0.1572 [3 per cell]  4 S 2.20-2.32
S: 0.0000 0.0000 0.2720 [3 per cell]  3 Fe 2.17, 1 Cu 2.20
S: 0.0000 0.0000 0.4157 [3 per cell]  3 Cu 2.32, 3 Fe 2.42

Computed properties:
**Electronic total energy**: -5.704 eV per atom
**Theoretical density**: 5.5 g cm⁻³

***

VASP calculation (PBEsol) on a relaxed ZrTaIn2 crystal.

Cell: 2.9820 4.4459 5.9950 Å, 90.00 90.00 90.00°
Last column: nearest neighbours and their distance in Å.
Space group Pmmm (No. 47)
Asymmetric unit:
Zr: 0.0000 0.0000 0.0000 [1 per cell]  2 Zr 2.98, 2 Ta 3.00, 8 In 3.09
Ta: 0.0000 0.0000 0.5000 [1 per cell]  2 Ta 2.98, 2 Zr 3.00, 8 In 3.05
In: 0.5000 0.5000 0.2572 [2 per cell]  4 In 2.91-3.08, 4 Ta 3.05, 4 Zr 3.09

Computed properties:
**Offset from the most stable computed form**: 0.0 meV/atom
**Electronic total energy**: -6.995 eV per atom
**ΔH_f (0 K)**: -0.09 eV per atom
**Theoretical density**: 10.5 g cm⁻³

***

VASP calculation (PBEsol) on a relaxed Be2OsCSe crystal.

Cell: 3.4766 3.4766 4.9063 Å, 90.00 90.00 90.00°
Last column: nearest neighbours and their distance in Å.
Space group P4/mmm (No. 123)
Asymmetric unit:
Be: 0.0000 0.5000 0.0000 [2 per cell]  2 C 1.74
Os: 0.0000 0.0000 0.5000 [1 per cell]  4 Se 2.46
C: 0.5000 0.5000 0.0000 [1 per cell]  4 Be 1.74
Se: 0.5000 0.5000 0.5000 [1 per cell]  2 C 2.45, 4 Os 2.46

Computed properties:
**Offset from the most stable computed form**: 0.0 meV/atom
**Electronic total energy**: -5.894 eV per atom
**Theoretical density**: 8.4 g cm⁻³

***

VASP calculation (PBEsol) on a relaxed PSeO2 crystal.

Cell: 3.1309 3.1309 18.8170 Å, 90.00 90.00 120.00°
Last column: nearest neighbours and their distance in Å.
Space group R-3m (No. 166, hexagonal axes)
Asymmetric unit:
P: 0.0000 0.0000 0.0000 [3 per cell]  6 O 2.09
Se: 0.0000 0.0000 0.5000 [3 per cell]  2 O 2.08
O: 0.0000 0.0000 0.3894 [6 per cell]  1 Se 2.08, 3 P 2.09

Computed properties:
**Offset from the most stable computed form**: 269.9 meV/atom
**Electronic total energy**: -5.254 eV per atom
**Theoretical density**: 4.4 g cm⁻³

***

VASP calculation (PBEsol) on a relaxed TeMoRu crystal.

Cell: 6.1058 6.1058 6.1058 Å, 90.00 90.00 90.00°
Last column: nearest neighbours and their distance in Å.
Space group F-43m (No. 216)
Asymmetric unit:
Te: 0.0000 0.0000 0.0000 [4 per cell]  4 Mo 2.64
Mo: 0.2500 0.2500 0.7500 [4 per cell]  4 Te 2.64, 4 Ru 2.64
Ru: 0.0000 0.0000 0.5000 [4 per cell]  4 Mo 2.64

Computed properties:
**Electronic total energy**: -8.096 eV per atom
**Theoretical density**: 9.5 g cm⁻³

***

VASP calculation (PBEsol) on a relaxed MgNi2As crystal.

Cell: 5.9354 5.9354 5.9354 Å, 90.00 90.00 90.00°
Last column: nearest neighbours and their distance in Å.
Space group F-43m (No. 216)
Asymmetric unit:
Mg: 0.0000 0.0000 0.0000 [4 per cell]  4 As 2.57, 4 Ni 2.57
Ni: 0.0000 0.0000 0.5000 [4 per cell]  4 Ni 2.57, 4 As 2.57
Ni: 0.2500 0.2500 0.2500 [4 per cell]  4 Ni 2.57, 4 Mg 2.57
As: 0.2500 0.2500 0.7500 [4 per cell]  4 Ni 2.57, 4 Mg 2.57

Computed properties:
**Electronic total energy**: -4.829 eV per atom
**ΔH_f (0 K)**: -0.04 eV per atom
**Theoretical density**: 6.9 g cm⁻³

***

VASP calculation (PBEsol) on a relaxed CdFeHg2 crystal.

Cell: 4.2497 4.2497 8.0987 Å, 90.00 90.00 90.00°
Last column: nearest neighbours and their distance in Å.
Space group I4/mmm (No. 139)
Asymmetric unit:
Cd: 0.0000 0.0000 0.0000 [2 per cell]  8 Hg 2.94, 4 Fe 3.00
Fe: 0.0000 0.0000 0.5000 [2 per cell]  8 Hg 2.94, 4 Cd 3.00
Hg: 0.0000 0.5000 0.2500 [4 per cell]  4 Fe 2.94, 4 Cd 2.94, 4 Hg 3.00

Computed properties:
**Electronic total energy**: -2.453 eV per atom
**ΔH_f (0 K)**: 0.37 eV per atom
**Theoretical density**: 12.9 g cm⁻³

***

VASP calculation (PBEsol) on a relaxed KCdMo2 crystal.

Cell: 2.6677 5.2253 5.5690 Å, 90.00 90.00 90.00°
Last column: nearest neighbours and their distance in Å.
Space group Pmmm (No. 47)
Asymmetric unit:
K: 0.0000 0.0000 0.0000 [1 per cell]  2 K 2.67, 4 Cd 2.93
Cd: 0.5000 0.5000 0.0000 [1 per cell]  2 Cd 2.67, 4 K 2.93
Mo: 0.0000 0.5000 0.5000 [1 per cell]  6 Mo 2.67-2.93
Mo: 0.5000 0.0000 0.5000 [1 per cell]  6 Mo 2.67-2.93

Computed properties:
**Electronic total energy**: -5.229 eV per atom
**ΔH_f (0 K)**: 1.24 eV per atom
**Theoretical density**: 7.3 g cm⁻³

***

VASP calculation (PBEsol) on a relaxed Cs3AlBr6 crystal.

Cell: 11.8672 11.8672 11.8672 Å, 90.00 90.00 90.00°
Last column: nearest neighbours and their distance in Å.
Space group Fm-3m (No. 225)
Asymmetric unit:
Cs: 0.0000 0.0000 0.0000 [4 per cell]  6 Br 3.40
Cs: 0.2500 0.2500 0.2500 [8 per cell]  12 Br 4.22
Al: 0.0000 0.0000 0.5000 [4 per cell]  6 Br 2.53
Br: 0.0000 0.0000 0.2868 [24 per cell]  1 Al 2.53

Computed properties:
**Electronic total energy**: -3.315 eV per atom
**Theoretical density**: 3.6 g cm⁻³

***

VASP calculation (PBEsol) on a relaxed CsCo2W crystal.

Cell: 6.3576 6.3576 6.3576 Å, 90.00 90.00 90.00°
Last column: nearest neighbours and their distance in Å.
Space group Fm-3m (No. 225)
Asymmetric unit:
Cs: 0.0000 0.0000 0.0000 [4 per cell]  8 Co 2.75
Co: 0.2500 0.2500 0.2500 [8 per cell]  4 W 2.75, 4 Cs 2.75
W: 0.0000 0.0000 0.5000 [4 per cell]  8 Co 2.75

Computed properties:
**Electronic total energy**: -5.645 eV per atom
**ΔH_f (0 K)**: 1.91 eV per atom
**Theoretical density**: 11.2 g cm⁻³

***

VASP calculation (PBEsol) on a relaxed LaTlSi2 crystal.

Cell: 3.5077 3.5077 7.0594 Å, 90.00 90.00 90.00°
Last column: nearest neighbours and their distance in Å.
Space group P4mm (No. 99)
Asymmetric unit:
La: 0.0000 0.0000 0.0000 [1 per cell]  5 Si 2.91-3.16
Tl: 0.5000 0.5000 0.6668 [1 per cell]  5 Si 2.75-3.06
Si: 0.0000 0.0000 0.4118 [1 per cell]  4 Si 2.66, 1 La 2.91
Si: 0.5000 0.5000 0.2766 [1 per cell]  4 Si 2.66, 1 Tl 2.75

Computed properties:
**Offset from the most stable computed form**: 0.0 meV/atom
**Electronic total energy**: -5.023 eV per atom
**Theoretical density**: 7.6 g cm⁻³

***

VASP calculation (PBEsol) on a relaxed ZnCu2Ni crystal.

Cell: 2.5065 4.1415 4.4463 Å, 90.00 95.59 90.00°
Last column: nearest neighbours and their distance in Å.
Space group P2/m (No. 10)
Asymmetric unit:
Zn: 0.0000 0.0000 0.0000 [1 per cell]  4 Ni 2.44-2.66, 4 Cu 2.47, 2 Zn 2.51
Cu: 0.2484 0.5000 0.7450 [2 per cell]  5 Cu 2.40-2.62, 2 Ni 2.45, 2 Zn 2.47
Ni: 0.5000 0.0000 0.5000 [1 per cell]  4 Zn 2.44-2.66, 4 Cu 2.45, 2 Ni 2.51

Computed properties:
**Electronic total energy**: -4.148 eV per atom
**ΔH_f (0 K)**: -0.05 eV per atom
**Theoretical density**: 9.1 g cm⁻³

***

VASP calculation (PBEsol) on a relaxed Si2RuPb crystal.

Cell: 5.3548 9.9807 3.1738 Å, 90.00 125.78 90.00°
Last column: nearest neighbours and their distance in Å.
Space group C2/m (No. 12)
Asymmetric unit:
Si: 0.2500 0.2500 0.0000 [4 per cell]  4 Si 2.68-2.70, 2 Pb 2.83, 2 Ru 2.83
Ru: 0.0000 0.0000 0.0000 [2 per cell]  4 Pb 2.68-2.70, 4 Si 2.83
Pb: 0.0000 0.5000 0.0000 [2 per cell]  4 Ru 2.68-2.70, 4 Si 2.83

Computed properties:
**Electronic total energy**: -5.813 eV per atom
**Theoretical density**: 8.8 g cm⁻³

***

VASP calculation (PBEsol) on a relaxed Li2AgF3 crystal.

Cell: 5.3388 9.0739 5.4756 Å, 90.00 108.78 90.00°
Last column: nearest neighbours and their distance in Å.
Space group C2/m (No. 12)
Asymmetric unit:
Li: 0.0000 0.0000 0.0000 [2 per cell]  2 F 1.98
Li: 0.0000 0.1617 0.5000 [4 per cell]  6 F 1.99-2.18
Li: 0.0000 0.5000 0.5000 [2 per cell]  4 F 1.95
Ag: 0.0000 0.3228 0.0000 [4 per cell]  6 F 2.38-2.44
F: 0.1956 0.0000 0.7476 [4 per cell]  3 Li 1.98-2.04
F: 0.2417 0.3476 0.6917 [8 per cell]  3 Li 1.95-2.18

Computed properties:
**Offset from the most stable computed form**: 70.1 meV/atom
**Electronic total energy**: -4.370 eV per atom
**Theoretical density**: 4.7 g cm⁻³

***

VASP calculation (PBEsol) on a relaxed Ti2Se crystal.

Cell: 11.6069 14.3566 3.4018 Å, 90.00 90.00 90.00°
Last column: nearest neighbours and their distance in Å.
Space group Pnnm (No. 58)
Asymmetric unit:
Ti: 0.0293 0.1087 0.0000 [4 per cell]  3 Se 2.58-2.71, 4 Ti 2.85-2.86
Ti: 0.0855 0.5764 0.0000 [4 per cell]  3 Se 2.51-2.57, 2 Ti 2.77
Ti: 0.0905 0.7395 0.5000 [4 per cell]  5 Se 2.56-2.84
Ti: 0.1149 0.4260 0.5000 [4 per cell]  4 Se 2.54-2.75, 2 Ti 2.77
Ti: 0.1454 0.9795 0.5000 [4 per cell]  4 Se 2.57-2.62, 2 Ti 2.85
Ti: 0.1878 0.2054 0.5000 [4 per cell]  5 Se 2.53-2.54
Se: 0.0684 0.2946 0.0000 [4 per cell]  8 Ti 2.54-2.71
Se: 0.1873 0.8497 0.0000 [4 per cell]  7 Ti 2.53-2.58
Se: 0.2447 0.5861 0.5000 [4 per cell]  8 Ti 2.51-2.75

Computed properties:
**Electronic total energy**: -7.750 eV per atom
**Theoretical density**: 6.1 g cm⁻³

***

VASP calculation (PBEsol) on a relaxed Li2TePb crystal.

Cell: 4.1007 5.1147 8.6700 Å, 90.00 90.00 90.00°
Last column: nearest neighbours and their distance in Å.
Space group Immm (No. 71)
Asymmetric unit:
Li: 0.0000 0.0000 0.2369 [4 per cell]  2 Te 2.90, 2 Pb 3.07
Te: 0.0000 0.5000 0.5000 [2 per cell]  4 Li 2.90
Pb: 0.0000 0.5000 0.0000 [2 per cell]  8 Li 3.07-3.28, 4 Te 3.28

Computed properties:
**Offset from the most stable computed form**: 43.8 meV/atom
**Electronic total energy**: -3.334 eV per atom
**Theoretical density**: 6.4 g cm⁻³

***

VASP calculation (PBEsol) on a relaxed Pt2Pb crystal.

Cell: 11.5117 3.7976 5.5699 Å, 90.00 112.21 90.00°
Last column: nearest neighbours and their distance in Å.
Space group C2/m (No. 12)
Asymmetric unit:
Pt: 0.0213 0.0000 0.2635 [4 per cell]  6 Pt 2.69-2.86, 2 Pb 2.79
Pt: 0.1258 0.5000 0.6566 [4 per cell]  5 Pt 2.69-2.80, 4 Pb 2.76-2.93
Pb: 0.1804 0.5000 0.1835 [4 per cell]  6 Pt 2.76-2.93

Computed properties:
**Electronic total energy**: -6.002 eV per atom
**ΔH_f (0 K)**: -0.03 eV per atom
**Theoretical density**: 17.6 g cm⁻³

***

VASP calculation (PBEsol) on a relaxed NaCuO2 crystal.

Cell: 3.4513 3.4513 17.8142 Å, 90.00 90.00 120.00°
Last column: nearest neighbours and their distance in Å.
Space group R-3m (No. 166, hexagonal axes)
Asymmetric unit:
Na: 0.0000 0.0000 0.0000 [3 per cell]  6 O 2.38
Cu: 0.0000 0.0000 0.5000 [3 per cell]  2 O 1.68
O: 0.0000 0.0000 0.4059 [6 per cell]  1 Cu 1.68

Computed properties:
**Electronic total energy**: -4.549 eV per atom
**Theoretical density**: 3.2 g cm⁻³

***

VASP calculation (PBEsol) on a relaxed Fe2Ge2Bi crystal.

Cell: 4.1569 4.1569 9.2676 Å, 90.00 90.00 90.00°
Last column: nearest neighbours and their distance in Å.
Space group I4/mmm (No. 139)
Asymmetric unit:
Fe: 0.0000 0.5000 0.2500 [4 per cell]  4 Ge 2.33
Ge: 0.0000 0.0000 0.1365 [4 per cell]  4 Fe 2.33, 1 Ge 2.53
Bi: 0.0000 0.0000 0.5000 [2 per cell]  8 Fe 3.11, 10 Ge 3.20-3.37

Computed properties:
**Electronic total energy**: -6.255 eV per atom
**ΔH_f (0 K)**: 0.16 eV per atom
**Theoretical density**: 9.7 g cm⁻³